[1]
The following is a DFT calculation (PBE) of an optimized crystal structure of SrAg2Au6.

```
data_SrAg2Au6
_chemical_formula_sum 'Sr1 Ag2 Au6'
_cell_length_a 5.6322
_cell_length_b 5.6322
_cell_length_c 7.7705
_cell_angle_alpha 90.00
_cell_angle_beta 90.00
_cell_angle_gamma 120.00
_space_group_name_H-M_alt 'P 6/m m m'
_space_group_IT_number 191
_space_group_name_Hall '-P 6 2'
loop_
_atom_site_label
_atom_site_fract_x
_atom_site_fract_y
_atom_site_fract_z
Sr1 0.0000 0.0000 0.0000
Ag1 0.3333 0.6667 0.5000
Au1 0.0000 0.5000 0.1995
```

Results
energy relative to the elements	-1.68	eV per formula unit
V	23.72	Å³ per atom

=====

[2]
The following is a DFT calculation (PBE) of an optimized crystal structure of Sr2Ag5Au12.

```
data_Sr2Ag5Au12
_chemical_formula_sum 'Sr6 Ag15 Au36'
_cell_length_a 9.7075
_cell_length_b 9.7075
_cell_length_c 14.3353
_cell_angle_alpha 90.00
_cell_angle_beta 90.00
_cell_angle_gamma 120.00
_space_group_name_H-M_alt 'R -3 m'
_space_group_IT_number 166
_space_group_name_Hall '-R 3 2"'
loop_
_atom_site_label
_atom_site_fract_x
_atom_site_fract_y
_atom_site_fract_z
Sr1 0.0000 0.0000 0.1551
Ag1 0.0000 0.0000 0.4027
Ag2 0.0000 0.5000 0.0000
Au1 0.0000 0.3049 0.5000
Au2 0.0006 0.5003 0.6534
```

Results
energy relative to the elements	-5.10	eV per formula unit
V	20.52	Å³ per atom

=====

[3]
The following is a DFT calculation (PBE) of an optimized crystal structure of SrAg4Au4.

```
data_SrAg4Au4
_chemical_formula_sum 'Sr2 Ag8 Au8'
_cell_length_a 8.727
_cell_length_b 8.727
_cell_length_c 4.923
_cell_angle_alpha 90.00
_cell_angle_beta 90.00
_cell_angle_gamma 90.00
_space_group_name_H-M_alt 'P 42/n'
_space_group_IT_number 86
loop_
_space_group_symop_operation_xyz
'x,y,z'
'-x,-y,-z'
'-y,x+1/2,z+1/2'
'y,-x+1/2,-z+1/2'
'-x+1/2,-y+1/2,z'
'x+1/2,y+1/2,-z'
'y+1/2,-x,z+1/2'
'-y+1/2,x,-z+1/2'
loop_
_atom_site_label
_atom_site_fract_x
_atom_site_fract_y
_atom_site_fract_z
Sr1 0.250 0.250 0.250
Ag1 0.113 0.819 0.744
Au1 0.035 0.125 0.755
```

Results
energy relative to the elements	-1.25	eV per formula unit
V	20.83	Å³ per atom

=====

[4]
The following is a DFT calculation (PBE) of an optimized crystal structure of Sr6AgAu3.

```
data_Sr6AgAu3
_chemical_formula_sum 'Sr12 Ag2 Au6'
_cell_length_a 11.901
_cell_length_b 4.564
_cell_length_c 14.104
_cell_angle_alpha 90.00
_cell_angle_beta 110.61
_cell_angle_gamma 90.00
_space_group_name_H-M_alt 'P 1 21/m 1'
_space_group_IT_number 11
_space_group_name_Hall '-P 2yb'
loop_
_atom_site_label
_atom_site_fract_x
_atom_site_fract_y
_atom_site_fract_z
Sr1 0.019 0.250 0.388
Sr2 0.070 0.250 0.907
Sr3 0.246 0.750 0.321
Sr4 0.338 0.750 0.799
Sr5 0.344 0.750 0.097
Sr6 0.391 0.250 0.571
Ag1 0.422 0.250 0.287
Au1 0.148 0.250 0.153
Au2 0.193 0.750 0.529
Au3 0.409 0.250 0.967
```

Results
energy relative to the elements	-5.15	eV per formula unit
V	35.85	Å³ per atom